i.
## InSb2Au2 (PBE)

Data for InSb2Au2 after structural relaxation.

Lattice parameters (Å, degrees): 8.6470 8.6470 3.2479 90.00 90.00 90.00
Space group P4/mbm (No. 127)
One atom of each set of equivalent atoms:
In  0.0000  0.0000  0.0000
Sb  0.1472  0.3528  0.0000
Au  0.1555  0.6555  0.5000

=====

ii.
## InSb2Au2 (PBE)

Data for InSb2Au2 after structural relaxation.

Lattice parameters (Å, degrees): 6.4230 6.9774 6.1283 90.00 110.03 90.00
Space group C2/m (No. 12)
One atom of each set of equivalent atoms:
In  0.0000  0.0000  0.0000
Sb  0.0000  0.2628  0.5000
Au  0.1716  0.5000  0.2092

=====

Stability, lowest: i

=====

i.
## InSbAu4 (PBE)

Data for InSbAu4 after structural relaxation.

Lattice parameters (Å, degrees): 4.5462 4.9531 6.8574 77.85 85.93 63.15
Space group P1 (No. 1)
One atom of each set of equivalent atoms:
In  0.0000  0.0000  0.0000
Sb  0.5808  0.4018  0.5197
Au  0.2743  0.9960  0.6002
Au  0.3591  0.2391  0.1800
Au  0.6738  0.6250  0.1262
Au  0.9867  0.5768  0.7542

=====

ii.
## InSbAu4 (PBE)

Data for InSbAu4 after structural relaxation.

Lattice parameters (Å, degrees): 7.9783 7.9783 7.9783 90.00 90.00 90.00
Space group F-43m (No. 216)
One atom of each set of equivalent atoms:
In  0.0000  0.0000  0.0000
Sb  0.2500  0.2500  0.7500
Au  0.1250  0.1250  0.3750

=====

Stability, lowest: ii

=====

i.
## InSbAu6 (PBE)

Data for InSbAu6 after structural relaxation.

Lattice parameters (Å, degrees): 7.3971 7.4449 6.8346 90.00 122.62 90.00
Space group C2/m (No. 12)
One atom of each set of equivalent atoms:
In  0.0000  0.0000  0.0000
Sb  0.0000  0.5000  0.0000
Au  0.1220  0.2495  0.7461
Au  0.2476  0.0000  0.4925

=====

ii.
## InSbAu6 (PBE)

Data for InSbAu6 after structural relaxation.

Lattice parameters (Å, degrees): 4.2731 4.2731 8.5443 90.00 90.00 90.00
Space group P4/mmm (No. 123)
One atom of each set of equivalent atoms:
In  0.0000  0.0000  0.0000
Sb  0.0000  0.0000  0.5000
Au  0.0000  0.5000  0.2437
Au  0.5000  0.5000  0.0000
Au  0.5000  0.5000  0.5000

=====

Stability, lowest: ii

=====

i.
## In2SbAu4 (PBE)

Data for In2SbAu4 after structural relaxation.

Lattice parameters (Å, degrees): 6.6894 5.7064 8.5855 90.00 106.90 90.00
Space group P2_1/m (No. 11)
One atom of each set of equivalent atoms:
In  0.0567  0.2500  0.3276
In  0.2178  0.7500  0.0876
Sb  0.4150  0.7500  0.5396
Au  0.0074  0.7500  0.3471
Au  0.2231  0.2500  0.0547
Au  0.3709  0.0024  0.8103

=====

ii.
## In2SbAu4 (PBE)

Data for In2SbAu4 after structural relaxation.

Lattice parameters (Å, degrees): 4.0160 4.0160 35.0388 90.00 90.00 120.00
Space group R-3m (No. 166, hexagonal axes)
One atom of each set of equivalent atoms:
In  0.0000  0.0000  0.2364
Sb  0.0000  0.0000  0.0000
Au  0.0000  0.0000  0.1432
Au  0.0000  0.0000  0.3816

=====

Stability, lowest: ii

=====

i.
## ScInAu3 (PBE)

Data for ScInAu3 after structural relaxation.

Lattice parameters (Å, degrees): 3.5626 4.6613 12.0782 89.99 81.69 89.98
Space group P1 (No. 1)
One atom of each set of equivalent atoms:
Sc  0.0000  0.0000  0.0000
Sc  0.1120  0.5000  0.7729
In  0.2052  0.0000  0.5892
In  0.3247  0.5008  0.3536
Au  0.4068  0.0003  0.1902
Au  0.5222  0.4999  0.9580
Au  0.5924  0.0000  0.8092
Au  0.7073  0.5001  0.5815
Au  0.8043  0.0011  0.3933
Au  0.9269  0.5001  0.1501

=====

ii.
## ScInAu3 (PBE)

Data for ScInAu3 after structural relaxation.

Lattice parameters (Å, degrees): 5.2147 5.2147 5.2147 90.00 90.00 90.00
Space group Pm-3m (No. 221)
One atom of each set of equivalent atoms:
Sc  0.0000  0.0000  0.0000
In  0.5000  0.5000  0.5000
Au  0.0000  0.0000  0.5000

=====

Stability, lowest: ii

=====

i.
## ScInAu4 (PBE)

Data for ScInAu4 after structural relaxation.

Lattice parameters (Å, degrees): 7.8405 7.8405 7.8405 90.00 90.00 90.00
Space group F-43m (No. 216)
One atom of each set of equivalent atoms:
Sc  0.0000  0.0000  0.0000
In  0.2500  0.2500  0.2500
Au  0.1252  0.1252  0.6252

=====

ii.
## ScInAu4 (PBE)

Data for ScInAu4 after structural relaxation.

Lattice parameters (Å, degrees): 5.0272 9.0683 4.9960 90.00 90.00 90.00
Space group Cmmm (No. 65)
One atom of each set of equivalent atoms:
Sc  0.0000  0.0000  0.0000
In  0.0000  0.5000  0.5000
Au  0.0000  0.1632  0.5000
Au  0.0000  0.3329  0.0000

=====

Stability, lowest: i